Compound: KHBr2
Source: the Alexandria database
Functional: PBE
Structure: optimized geometry

Lattice parameters (Å, degrees): 5.160 5.160 12.945 90.00 90.00 120.00
Sites, in units of the cell vectors:
H  0.333  0.667  0.250
H  0.667  0.333  0.750
K  0.000  0.000  0.000
K  0.000  0.000  0.500
Br  0.333  0.667  0.118
Br  0.333  0.667  0.382
Br  0.667  0.333  0.618
Br  0.667  0.333  0.882

Calculated values
Space group: P6_3/mmc, No. 194
E above lowest polymorph, meV per atom: 0.6
Magnetic moment, μB/f.u.: 0.0

---

Compound: KHBr2
Source: the Alexandria database
Functional: PBE
Structure: optimized geometry

Lattice parameters (Å, degrees): 6.875 6.875 6.517 58.17 58.17 90.00
Sites, in units of the cell vectors:
K  0.750  0.250  0.500
K  0.000  0.000  0.000
Br  0.255  0.625  0.250
Br  0.495  0.125  0.250
Br  0.375  0.505  0.750
Br  0.875  0.745  0.750
H  0.500  0.500  0.000
H  0.250  0.750  0.500

Calculated values
Space group: I-42d, No. 122
E above lowest polymorph, meV per atom: 405.5
Magnetic moment, μB/f.u.: 0.0